(1)
The following is a DFT calculation (GGA-PBE) of a relaxed Tb2Ga5Pt4 crystal.

Cell: 5.4190 5.3390 8.6761 Å, 80.88 71.80 59.50°
With the nearest neighbours (Å) after each atom.
Positions (direct):
Tb 0.8749 0.0000 0.2502  6 Pt 3.08-3.14, 10 Ga 3.37-3.41
Tb 0.1251 0.0000 0.7498  6 Pt 3.08-3.14, 10 Ga 3.37-3.41
Ga 0.5000 0.0000 0.0000  4 Pt 2.61, 4 Ga 2.67
Ga 0.0000 0.5000 0.0000  4 Ga 2.67-2.71, 4 Pt 2.69
Ga 0.5000 0.5000 0.0000  4 Ga 2.67-2.71, 4 Pt 2.69
Ga 0.2500 0.5000 0.5000  4 Pt 2.53, 2 Ga 2.71
Ga 0.7500 0.5000 0.5000  4 Pt 2.53, 2 Ga 2.71
Pt 0.4724 0.3174 0.7378  5 Ga 2.53-2.69
Pt 0.5276 0.6826 0.2622  5 Ga 2.53-2.69
Pt 0.2102 0.3174 0.2622  5 Ga 2.53-2.69
Pt 0.7898 0.6826 0.7378  5 Ga 2.53-2.69

Computed properties:
ΔE_f (eV per atom): -0.847
Calculated volume (Å³ per atom): 18.7
Electronic total energy (eV for the cell shown): -57.9
Space group: Fmmm
Magnetization (μB per formula unit): 0.00


(2)
The following is a DFT calculation (GGA-PBE) of a relaxed TbGaPt6 crystal.

Cell: 4.0749 4.0749 7.9665 Å, 90.00 90.00 90.00°
With the nearest neighbours (Å) after each atom.
Positions (direct):
Tb 0.0000 0.0000 0.0000  12 Pt 2.88-2.94
Ga 0.0000 0.0000 0.5000  12 Pt 2.76-2.88
Pt 0.5000 0.5000 0.0000  4 Tb 2.88, 8 Pt 2.94
Pt 0.5000 0.5000 0.5000  8 Pt 2.76, 4 Ga 2.88
Pt 0.5000 0.0000 0.2655  2 Ga 2.76, 8 Pt 2.76-2.94, 2 Tb 2.94
Pt 0.5000 0.0000 0.7345  2 Ga 2.76, 8 Pt 2.76-2.94, 2 Tb 2.94
Pt 0.0000 0.5000 0.2655  8 Pt 2.76-2.94, 2 Ga 2.76, 2 Tb 2.94
Pt 0.0000 0.5000 0.7345  8 Pt 2.76-2.94, 2 Ga 2.76, 2 Tb 2.94

Computed properties:
ΔE_f (eV per atom): -0.720
Calculated volume (Å³ per atom): 16.5
Electronic total energy (eV for the cell shown): -49.7
Space group: P4/mmm
Magnetization (μB per formula unit): 0.00


(3)
The following is a DFT calculation (GGA-PBE) of a relaxed TbGa5Pt7 crystal.

Cell: 5.3826 6.8540 6.8540 Å, 82.79 66.88 66.88°
With the nearest neighbours (Å) after each atom.
Positions (direct):
Tb 0.9922 0.0078 0.0078  4 Pt 2.90-3.07
Ga 0.5010 0.0029 0.4857  7 Pt 2.54-2.80, 3 Ga 2.64-2.74
Ga 0.0104 0.0029 0.4857  7 Pt 2.54-2.80, 3 Ga 2.64-2.74
Ga 0.5010 0.4857 0.0029  7 Pt 2.54-2.80, 3 Ga 2.64-2.74
Ga 0.0104 0.4857 0.0029  7 Pt 2.54-2.80, 3 Ga 2.64-2.74
Ga 0.7259 0.7741 0.7741  6 Pt 2.60-2.82, 4 Ga 2.73
Pt 0.6533 0.3467 0.3467  4 Ga 2.73, 5 Pt 2.89-2.93, 1 Tb 2.97
Pt 0.3226 0.6774 0.6774  6 Ga 2.75-2.82, 1 Tb 2.90, 1 Pt 2.90
Pt 0.9868 0.3515 0.6749  5 Ga 2.60-2.80, 1 Pt 2.91
Pt 0.9868 0.6749 0.3515  5 Ga 2.60-2.80, 1 Pt 2.91
Pt 0.2734 0.2266 0.2266  4 Ga 2.56, 2 Pt 2.84
Pt 0.5181 0.7770 0.1868  5 Ga 2.54-2.67, 1 Pt 2.84
Pt 0.5181 0.1868 0.7770  5 Ga 2.54-2.67, 1 Pt 2.84

Computed properties:
ΔE_f (eV per atom): -0.646
Calculated volume (Å³ per atom): 16.4
Electronic total energy (eV for the cell shown): -70.4
Space group: Imm2
Magnetization (μB per formula unit): 0.00


Question: Look up the magnetization of the third one.
Answer: 0.00 μB per formula unit